Pa2In9Hg: relaxed, GGA-PBE.

Cell: 4.597 4.597 14.528 Å, 90.00 90.00 90.00°
Fractional coordinates of all 12 atoms:
Pa  0.000  0.000  0.160
Pa  0.000  0.000  0.840
In  0.000  0.500  0.000
In  0.000  0.500  0.327
In  0.000  0.500  0.673
In  0.500  0.000  0.000
In  0.500  0.000  0.327
In  0.500  0.000  0.673
In  0.500  0.500  0.160
In  0.500  0.500  0.500
In  0.500  0.500  0.840
Hg  0.000  0.000  0.500

Symmetry: P4/mmm, No. 123
Calculated formation energy: -0.036 eV/atom
Energy: -44.37 eV per cell